CaCoOs | PBE | optimized geometry

Cell lengths 3.9201, 3.9201, 4.5427 Å; angles 90.00, 90.00, 120.00 degrees
Last column: nearest neighbours and their distance in Å.
Sites, in units of the cell vectors:
Ca: 0.0000 0.0000 0.0000  6 Co 3.21, 6 Os 3.21
Co: 0.6667 0.3333 0.5000  3 Os 2.26
Os: 0.3333 0.6667 0.5000  3 Co 2.26


CaCoOs | PBE | optimized geometry

Cell lengths 4.4440, 4.4440, 4.4440 Å; angles 60.00, 60.00, 60.00 degrees
Last column: nearest neighbours and their distance in Å.
Sites, in units of the cell vectors:
Ca: 0.0000 0.0000 0.0000  4 Os 2.72, 4 Co 2.72
Co: 0.2500 0.2500 0.2500  4 Ca 2.72
Os: 0.7500 0.7500 0.7500  4 Ca 2.72


Number 1: excess energy over the best structure of this formula in the dataset 0.2303 eV/atom, E -6.45 eV per atom, ΔE_f 327 meV per atom. Number 2: excess energy over the best structure of this formula in the dataset 1.7911 eV/atom, E -4.89 eV per atom, ΔE_f 1888 meV per atom.